a | # RbSbCI2 PBE relaxed
# Symmetry: P4/mmm (123)
# DOS(E_F) in states/eV per cell: 12.06
data_RbSbCI2
_chemical_formula_sum 'Rb1 Sb1 C1 I2'
_space_group_name_H-M_alt 'P 1'
_space_group_IT_number 1
_cell_length_a 6.994
_cell_length_b 6.994
_cell_length_c 7.848
_cell_angle_alpha 90.00
_cell_angle_beta 90.00
_cell_angle_gamma 90.00
loop_
_space_group_symop_operation_xyz
'x,y,z'
loop_
_atom_site_label
_atom_site_fract_x
_atom_site_fract_y
_atom_site_fract_z
_atom_site_occupancy
I1 0.000 0.500 0.000 1
I2 0.500 0.000 0.000 1
Sb1 0.000 0.000 0.500 1
C1 0.500 0.500 0.500 1
Rb1 0.000 0.000 0.000 1

=====

b | # RbSbCI2 PBE relaxed
# Symmetry: P4/mmm (123)
# DOS(E_F) in states/eV per cell: 1.41
data_RbSbCI2
_chemical_formula_sum 'Rb1 Sb1 C1 I2'
_space_group_name_H-M_alt 'P 1'
_space_group_IT_number 1
_cell_length_a 5.972
_cell_length_b 5.972
_cell_length_c 4.480
_cell_angle_alpha 90.00
_cell_angle_beta 90.00
_cell_angle_gamma 90.00
loop_
_space_group_symop_operation_xyz
'x,y,z'
loop_
_atom_site_label
_atom_site_fract_x
_atom_site_fract_y
_atom_site_fract_z
_atom_site_occupancy
I1 0.000 0.500 0.000 1
I2 0.500 0.000 0.000 1
Sb1 0.000 0.000 0.500 1
C1 0.000 0.000 0.000 1
Rb1 0.500 0.500 0.500 1

=====

Energies relative to the minimum, meV/atom: a 1264; b 0

=====

a | # RbSrCI2 PBE relaxed
# Symmetry: P4/mmm (123)
# DOS(E_F) in states/eV per cell: 3.60
data_RbSrCI2
_chemical_formula_sum 'Rb1 Sr1 C1 I2'
_space_group_name_H-M_alt 'P 1'
_space_group_IT_number 1
_cell_length_a 5.722
_cell_length_b 5.382
_cell_length_c 5.722
_cell_angle_alpha 90.00
_cell_angle_beta 90.00
_cell_angle_gamma 90.00
loop_
_space_group_symop_operation_xyz
'x,y,z'
loop_
_atom_site_label
_atom_site_fract_x
_atom_site_fract_y
_atom_site_fract_z
_atom_site_occupancy
I1 0.000 0.000 0.500 1
I2 0.500 0.000 0.000 1
Sr1 0.500 0.500 0.500 1
C1 0.000 0.000 0.000 1
Rb1 0.000 0.500 0.000 1

=====

b | # RbSrCI2 PBE relaxed
# Symmetry: P4/mmm (123)
# DOS(E_F) in states/eV per cell: 2.67
data_RbSrCI2
_chemical_formula_sum 'Rb1 Sr1 C1 I2'
_space_group_name_H-M_alt 'P 1'
_space_group_IT_number 1
_cell_length_a 6.476
_cell_length_b 7.228
_cell_length_c 6.476
_cell_angle_alpha 90.00
_cell_angle_beta 90.00
_cell_angle_gamma 90.00
loop_
_space_group_symop_operation_xyz
'x,y,z'
loop_
_atom_site_label
_atom_site_fract_x
_atom_site_fract_y
_atom_site_fract_z
_atom_site_occupancy
I1 0.000 0.000 0.500 1
I2 0.500 0.000 0.000 1
Sr1 0.000 0.500 0.000 1
C1 0.500 0.500 0.500 1
Rb1 0.000 0.000 0.000 1

=====

Energies relative to the minimum, meV/atom: a 0; b 537

=====

a | # ReC3I PBE relaxed
# Symmetry: Pm-3m (221)
# DOS(E_F) in states/eV per cell: 2.11
data_ReC3I
_chemical_formula_sum 'Re1 C3 I1'
_space_group_name_H-M_alt 'P 1'
_space_group_IT_number 1
_cell_length_a 4.054
_cell_length_b 4.054
_cell_length_c 4.054
_cell_angle_alpha 90.00
_cell_angle_beta 90.00
_cell_angle_gamma 90.00
loop_
_space_group_symop_operation_xyz
'x,y,z'
loop_
_atom_site_label
_atom_site_fract_x
_atom_site_fract_y
_atom_site_fract_z
_atom_site_occupancy
I1 0.000 0.000 0.000 1
Re1 0.500 0.500 0.500 1
C1 0.000 0.500 0.000 1
C2 0.000 0.000 0.500 1
C3 0.500 0.000 0.000 1

=====

b | # ReC3I PBE relaxed
# Symmetry: Pm-3m (221)
# DOS(E_F) in states/eV per cell: 3.88
data_ReC3I
_chemical_formula_sum 'Re1 C3 I1'
_space_group_name_H-M_alt 'P 1'
_space_group_IT_number 1
_cell_length_a 4.168
_cell_length_b 4.168
_cell_length_c 4.168
_cell_angle_alpha 90.00
_cell_angle_beta 90.00
_cell_angle_gamma 90.00
loop_
_space_group_symop_operation_xyz
'x,y,z'
loop_
_atom_site_label
_atom_site_fract_x
_atom_site_fract_y
_atom_site_fract_z
_atom_site_occupancy
I1 0.500 0.500 0.500 1
Re1 0.000 0.000 0.000 1
C1 0.000 0.500 0.000 1
C2 0.000 0.000 0.500 1
C3 0.500 0.000 0.000 1

=====

Energies relative to the minimum, meV/atom: a 1711; b 0

=====

a | # RhCI2 PBE relaxed
# Symmetry: Fm-3m (225)
# DOS(E_F) in states/eV per cell: 3.49
data_RhCI2
_chemical_formula_sum 'Rh1 C1 I2'
_space_group_name_H-M_alt 'P 1'
_space_group_IT_number 1
_cell_length_a 4.796
_cell_length_b 4.796
_cell_length_c 4.796
_cell_angle_alpha 60.00
_cell_angle_beta 60.00
_cell_angle_gamma 60.00
loop_
_space_group_symop_operation_xyz
'x,y,z'
loop_
_atom_site_label
_atom_site_fract_x
_atom_site_fract_y
_atom_site_fract_z
_atom_site_occupancy
I1 0.250 0.250 0.250 1
I2 0.750 0.750 0.750 1
C1 0.000 0.000 0.000 1
Rh1 0.500 0.500 0.500 1

=====

b | # RhCI2 PBE relaxed
# Symmetry: I-42d (122)
# DOS(E_F) in states/eV per cell: 7.76
data_RhCI2
_chemical_formula_sum 'Rh2 C2 I4'
_space_group_name_H-M_alt 'P 1'
_space_group_IT_number 1
_cell_length_a 5.769
_cell_length_b 5.769
_cell_length_c 7.249
_cell_angle_alpha 66.55
_cell_angle_beta 66.55
_cell_angle_gamma 90.00
loop_
_space_group_symop_operation_xyz
'x,y,z'
loop_
_atom_site_label
_atom_site_fract_x
_atom_site_fract_y
_atom_site_fract_z
_atom_site_occupancy
I1 0.606 0.125 0.250 1
I2 0.144 0.625 0.250 1
I3 0.375 0.394 0.750 1
I4 0.875 0.856 0.750 1
C1 0.500 0.500 0.000 1
C2 0.250 0.750 0.500 1
Rh1 0.000 0.000 0.000 1
Rh2 0.750 0.250 0.500 1

=====

Energies relative to the minimum, meV/atom: a 413; b 0

=====

a | # RhCI3 PBE relaxed
# Symmetry: Pm-3m (221)
# DOS(E_F) in states/eV per cell: 4.17
data_RhCI3
_chemical_formula_sum 'Rh1 C1 I3'
_space_group_name_H-M_alt 'P 1'
_space_group_IT_number 1
_cell_length_a 4.994
_cell_length_b 4.994
_cell_length_c 4.994
_cell_angle_alpha 90.00
_cell_angle_beta 90.00
_cell_angle_gamma 90.00
loop_
_space_group_symop_operation_xyz
'x,y,z'
loop_
_atom_site_label
_atom_site_fract_x
_atom_site_fract_y
_atom_site_fract_z
_atom_site_occupancy
I1 0.000 0.500 0.000 1
I2 0.000 0.000 0.500 1
I3 0.500 0.000 0.000 1
C1 0.000 0.000 0.000 1
Rh1 0.500 0.500 0.500 1

=====

b | # RhCI3 PBE relaxed
# Symmetry: Pm-3m (221)
# DOS(E_F) in states/eV per cell: 5.45
data_RhCI3
_chemical_formula_sum 'Rh1 C1 I3'
_space_group_name_H-M_alt 'P 1'
_space_group_IT_number 1
_cell_length_a 5.394
_cell_length_b 5.394
_cell_length_c 5.394
_cell_angle_alpha 90.00
_cell_angle_beta 90.00
_cell_angle_gamma 90.00
loop_
_space_group_symop_operation_xyz
'x,y,z'
loop_
_atom_site_label
_atom_site_fract_x
_atom_site_fract_y
_atom_site_fract_z
_atom_site_occupancy
I1 0.000 0.500 0.000 1
I2 0.000 0.000 0.500 1
I3 0.500 0.000 0.000 1
C1 0.500 0.500 0.500 1
Rh1 0.000 0.000 0.000 1

=====

Energies relative to the minimum, meV/atom: a 42; b 0

=====

a | # RhC3I PBE relaxed
# Symmetry: Pm-3m (221)
# DOS(E_F) in states/eV per cell: 2.13
data_RhC3I
_chemical_formula_sum 'Rh1 C3 I1'
_space_group_name_H-M_alt 'P 1'
_space_group_IT_number 1
_cell_length_a 4.066
_cell_length_b 4.066
_cell_length_c 4.066
_cell_angle_alpha 90.00
_cell_angle_beta 90.00
_cell_angle_gamma 90.00
loop_
_space_group_symop_operation_xyz
'x,y,z'
loop_
_atom_site_label
_atom_site_fract_x
_atom_site_fract_y
_atom_site_fract_z
_atom_site_occupancy
I1 0.000 0.000 0.000 1
C1 0.000 0.500 0.000 1
C2 0.000 0.000 0.500 1
C3 0.500 0.000 0.000 1
Rh1 0.500 0.500 0.500 1

=====

b | # RhC3I PBE relaxed
# Symmetry: Pm-3m (221)
# DOS(E_F) in states/eV per cell: 4.02
data_RhC3I
_chemical_formula_sum 'Rh1 C3 I1'
_space_group_name_H-M_alt 'P 1'
_space_group_IT_number 1
_cell_length_a 4.099
_cell_length_b 4.099
_cell_length_c 4.099
_cell_angle_alpha 90.00
_cell_angle_beta 90.00
_cell_angle_gamma 90.00
loop_
_space_group_symop_operation_xyz
'x,y,z'
loop_
_atom_site_label
_atom_site_fract_x
_atom_site_fract_y
_atom_site_fract_z
_atom_site_occupancy
I1 0.500 0.500 0.500 1
C1 0.000 0.500 0.000 1
C2 0.000 0.000 0.500 1
C3 0.500 0.000 0.000 1
Rh1 0.000 0.000 0.000 1

=====

Energies relative to the minimum, meV/atom: a 1148; b 0

=====

a | # SbRhCI2 PBE relaxed
# Symmetry: P4/mmm (123)
# DOS(E_F) in states/eV per cell: 4.75
data_SbRhCI2
_chemical_formula_sum 'Sb1 Rh1 C1 I2'
_space_group_name_H-M_alt 'P 1'
_space_group_IT_number 1
_cell_length_a 4.949
_cell_length_b 4.949
_cell_length_c 4.633
_cell_angle_alpha 90.00
_cell_angle_beta 90.00
_cell_angle_gamma 90.00
loop_
_space_group_symop_operation_xyz
'x,y,z'
loop_
_atom_site_label
_atom_site_fract_x
_atom_site_fract_y
_atom_site_fract_z
_atom_site_occupancy
I1 0.000 0.500 0.000 1
I2 0.500 0.000 0.000 1
Sb1 0.000 0.000 0.500 1
C1 0.000 0.000 0.000 1
Rh1 0.500 0.500 0.500 1

=====

b | # SbRhCI2 PBE relaxed
# Symmetry: P4/mmm (123)
# DOS(E_F) in states/eV per cell: 6.05
data_SbRhCI2
_chemical_formula_sum 'Sb1 Rh1 C1 I2'
_space_group_name_H-M_alt 'P 1'
_space_group_IT_number 1
_cell_length_a 5.540
_cell_length_b 5.540
_cell_length_c 4.979
_cell_angle_alpha 90.00
_cell_angle_beta 90.00
_cell_angle_gamma 90.00
loop_
_space_group_symop_operation_xyz
'x,y,z'
loop_
_atom_site_label
_atom_site_fract_x
_atom_site_fract_y
_atom_site_fract_z
_atom_site_occupancy
I1 0.000 0.500 0.000 1
I2 0.500 0.000 0.000 1
Sb1 0.000 0.000 0.500 1
C1 0.500 0.500 0.500 1
Rh1 0.000 0.000 0.000 1

=====

Energies relative to the minimum, meV/atom: a 0; b 101

=====

a | # Sb2RhCI PBE relaxed
# Symmetry: P4/mmm (123)
# DOS(E_F) in states/eV per cell: 2.83
data_Sb2RhCI
_chemical_formula_sum 'Sb2 Rh1 C1 I1'
_space_group_name_H-M_alt 'P 1'
_space_group_IT_number 1
_cell_length_a 4.645
_cell_length_b 4.837
_cell_length_c 4.645
_cell_angle_alpha 90.00
_cell_angle_beta 90.00
_cell_angle_gamma 90.00
loop_
_space_group_symop_operation_xyz
'x,y,z'
loop_
_atom_site_label
_atom_site_fract_x
_atom_site_fract_y
_atom_site_fract_z
_atom_site_occupancy
I1 0.000 0.500 0.000 1
Sb1 0.000 0.000 0.500 1
Sb2 0.500 0.000 0.000 1
C1 0.000 0.000 0.000 1
Rh1 0.500 0.500 0.500 1

=====

b | # Sb2RhCI PBE relaxed
# Symmetry: P4/mmm (123)
# DOS(E_F) in states/eV per cell: 5.51
data_Sb2RhCI
_chemical_formula_sum 'Sb2 Rh1 C1 I1'
_space_group_name_H-M_alt 'P 1'
_space_group_IT_number 1
_cell_length_a 5.073
_cell_length_b 5.073
_cell_length_c 5.643
_cell_angle_alpha 90.00
_cell_angle_beta 90.00
_cell_angle_gamma 90.00
loop_
_space_group_symop_operation_xyz
'x,y,z'
loop_
_atom_site_label
_atom_site_fract_x
_atom_site_fract_y
_atom_site_fract_z
_atom_site_occupancy
I1 0.000 0.000 0.500 1
Sb1 0.000 0.500 0.000 1
Sb2 0.500 0.000 0.000 1
C1 0.500 0.500 0.500 1
Rh1 0.000 0.000 0.000 1

=====

Energies relative to the minimum, meV/atom: a 0; b 365